A relaxed LaDyPb crystal. Source: Alexandria, functional PBE.

a = 4.505 Å, b = 4.955 Å, c = 8.705 Å
α = 90.00°, β = 105.12°, γ = 90.00°
Sites, in units of the cell vectors:
1 La 0.071 0.250 0.146
2 La 0.929 0.750 0.854
3 Dy 0.254 0.750 0.508
4 Dy 0.746 0.250 0.492
5 Pb 0.392 0.250 0.781
6 Pb 0.608 0.750 0.219

Properties
* total DFT energy (no corrections): -4.86 eV/atom
* DFT formation energy: -10.3 kcal/mol of atoms
* E above lowest polymorph: 0.043 eV per atom


A relaxed KSrCa2Au crystal. Source: Alexandria, functional PBE.

a = 5.884 Å, b = 5.884 Å, c = 6.368 Å
α = 90.00°, β = 90.00°, γ = 90.00°
Sites, in units of the cell vectors:
1 K 0.000 0.000 0.000
2 Sr 0.500 0.500 0.000
3 Ca 0.000 0.500 0.500
4 Ca 0.500 0.000 0.500
5 Au 0.000 0.000 0.500

Properties
* total DFT energy (no corrections): -2.19 eV/atom
* DFT formation energy: -4.1 kcal/mol of atoms
* E above lowest polymorph: 0.121 eV per atom


A relaxed Hg3W crystal. Source: Alexandria, functional PBE.

a = 6.086 Å, b = 6.086 Å, c = 9.961 Å
α = 90.00°, β = 90.00°, γ = 120.00°
Sites, in units of the cell vectors:
1 Hg 0.000 0.500 0.000
2 Hg 0.000 0.500 0.500
3 Hg 0.163 0.326 0.250
4 Hg 0.163 0.837 0.250
5 Hg 0.326 0.163 0.750
6 Hg 0.500 0.000 0.000
7 Hg 0.500 0.000 0.500
8 Hg 0.500 0.500 0.000
9 Hg 0.500 0.500 0.500
10 Hg 0.674 0.837 0.250
11 Hg 0.837 0.163 0.750
12 Hg 0.837 0.674 0.750
13 W 0.000 0.000 0.000
14 W 0.000 0.000 0.500
15 W 0.333 0.667 0.750
16 W 0.667 0.333 0.250

Properties
* total DFT energy (no corrections): -2.60 eV/atom
* DFT formation energy: 20.0 kcal/mol of atoms
* E above lowest polymorph: 0.417 eV per atom


A relaxed Sc2CuHgRu crystal. Source: Alexandria, functional PBE.

a = 4.887 Å, b = 4.887 Å, c = 4.788 Å
α = 90.00°, β = 90.00°, γ = 90.00°
Sites, in units of the cell vectors:
1 Sc 0.000 0.500 0.000
2 Sc 0.500 0.000 0.000
3 Cu 0.000 0.000 0.500
4 Hg 0.500 0.500 0.500
5 Ru 0.000 0.000 0.000

Properties
* total DFT energy (no corrections): -5.16 eV/atom
* DFT formation energy: 2.5 kcal/mol of atoms


A relaxed ZnMoBr crystal. Source: Alexandria, functional PBE.

a = 4.665 Å, b = 4.665 Å, c = 4.665 Å
α = 60.00°, β = 60.00°, γ = 60.00°
Sites, in units of the cell vectors:
1 Zn 0.000 0.000 0.000
2 Mo 0.750 0.750 0.750
3 Br 0.500 0.500 0.500

Properties
* total DFT energy (no corrections): -3.63 eV/atom
* E above lowest polymorph: 0.903 eV per atom
* ΔE_f (raw): 0.963 eV per atom


A relaxed BaNbTc2 crystal. Source: Alexandria, functional PBE.

a = 4.809 Å, b = 4.809 Å, c = 4.809 Å
α = 60.00°, β = 60.00°, γ = 60.00°
Sites, in units of the cell vectors:
1 Ba 0.000 0.000 0.000
2 Nb 0.500 0.500 0.500
3 Tc 0.250 0.250 0.250
4 Tc 0.750 0.750 0.750

Properties
* total DFT energy (no corrections): -7.23 eV/atom
* DFT formation energy: 22.0 kcal/mol of atoms
* E above lowest polymorph: 0.000 eV per atom


A relaxed KHgPb2Br8 crystal. Source: Alexandria, functional PBE.

a = 6.891 Å, b = 7.148 Å, c = 9.183 Å
α = 90.21°, β = 90.33°, γ = 93.71°
Sites, in units of the cell vectors:
1 K 0.000 0.000 0.000
2 Hg 0.000 0.000 0.500
3 Pb 0.499 0.498 0.258
4 Pb 0.501 0.502 0.742
5 Br 0.232 0.151 0.713
6 Br 0.240 0.156 0.282
7 Br 0.265 0.654 0.498
8 Br 0.285 0.646 0.000
9 Br 0.715 0.354 0.000
10 Br 0.735 0.346 0.502
11 Br 0.760 0.844 0.718
12 Br 0.768 0.849 0.287

Properties
* total DFT energy (no corrections): -2.64 eV/atom
* ΔE_f (raw): -0.788 eV per atom


A relaxed CrSN2 crystal. Source: Alexandria, functional PBE.

a = 5.460 Å, b = 5.460 Å, c = 5.460 Å
α = 126.32°, β = 126.32°, γ = 79.36°
Sites, in units of the cell vectors:
1 Cr 0.000 0.000 0.000
2 Cr 0.750 0.250 0.500
3 S 0.250 0.750 0.500
4 S 0.500 0.500 0.000
5 N 0.027 0.625 0.902
6 N 0.375 0.277 0.402
7 N 0.723 0.125 0.098
8 N 0.875 0.973 0.598

Properties
* total DFT energy (no corrections): -6.90 eV/atom
* ΔE_f (raw): 0.697 eV per atom


A relaxed Ac6HgRu2I3 crystal. Source: Alexandria, functional PBE.

a = 7.752 Å, b = 7.752 Å, c = 9.038 Å
α = 98.22°, β = 98.22°, γ = 119.98°
Sites, in units of the cell vectors:
1 Ac 0.072 0.437 0.811
2 Ac 0.198 0.198 0.188
3 Ac 0.437 0.072 0.811
4 Ac 0.563 0.928 0.189
5 Ac 0.802 0.802 0.812
6 Ac 0.928 0.563 0.189
7 Hg 0.500 0.500 0.000
8 Ru 0.167 0.833 0.000
9 Ru 0.833 0.167 0.000
10 I 0.000 0.000 0.500
11 I 0.336 0.664 0.500
12 I 0.664 0.336 0.500

Properties
* total DFT energy (no corrections): -4.77 eV/atom
* ΔE_f (raw): -0.762 eV per atom


A relaxed Ag2Pd5Au4 crystal. Source: Alexandria, functional PBE.

a = 4.951 Å, b = 4.993 Å, c = 7.597 Å
α = 89.87°, β = 83.80°, γ = 80.05°
Sites, in units of the cell vectors:
1 Ag 0.092 0.315 0.136
2 Ag 0.908 0.685 0.864
3 Pd 0.000 0.500 0.500
4 Pd 0.270 0.953 0.411
5 Pd 0.364 0.773 0.047
6 Pd 0.636 0.227 0.953
7 Pd 0.730 0.047 0.589
8 Au 0.183 0.135 0.770
9 Au 0.460 0.590 0.682
10 Au 0.540 0.410 0.318
11 Au 0.817 0.865 0.230

Properties
* total DFT energy (no corrections): -4.15 eV/atom
* DFT formation energy: -1.9 kcal/mol of atoms
* E above lowest polymorph: 0.000 eV per atom


A relaxed Y2TaReNi crystal. Source: Alexandria, functional PBE.

a = 5.395 Å, b = 5.395 Å, c = 4.782 Å
α = 90.00°, β = 90.00°, γ = 90.00°
Sites, in units of the cell vectors:
1 Y 0.000 0.500 0.000
2 Y 0.500 0.000 0.000
3 Ta 0.000 0.000 0.500
4 Re 0.000 0.000 0.000
5 Ni 0.500 0.500 0.500

Properties
* total DFT energy (no corrections): -7.65 eV/atom
* DFT formation energy: 22.0 kcal/mol of atoms


A relaxed CeNdRu2 crystal. Source: Alexandria, functional PBE.

a = 8.968 Å, b = 5.892 Å, c = 6.763 Å
α = 90.00°, β = 96.68°, γ = 90.00°
Sites, in units of the cell vectors:
1 Ce 0.117 0.152 0.303
2 Ce 0.117 0.348 0.803
3 Ce 0.883 0.652 0.197
4 Ce 0.883 0.848 0.697
5 Nd 0.377 0.654 0.184
6 Nd 0.377 0.846 0.684
7 Nd 0.623 0.154 0.316
8 Nd 0.623 0.346 0.816
9 Ru 0.108 0.649 0.421
10 Ru 0.108 0.851 0.921
11 Ru 0.348 0.202 0.000
12 Ru 0.348 0.298 0.500
13 Ru 0.652 0.702 0.500
14 Ru 0.652 0.798 0.000
15 Ru 0.892 0.149 0.079
16 Ru 0.892 0.351 0.579

Properties
* total DFT energy (no corrections): -7.55 eV/atom
* DFT formation energy: -5.4 kcal/mol of atoms


Record order is preserved below.
Ρ: 9.004, 3.041, 16.333, 6.610, 5.582, 9.000, 4.758, 3.643, 7.903, 13.869, 7.201, 9.104 g cm⁻³